# 1
Computed, not measured: a geometry-optimized CsP2Rh2 structure at the PBE level of DFT.

Calculated values
For the mass density, the calculation gives 5.56 g/cm3. The value obtained for the magnetic moment is 0.00 μB per formula unit. The formation enthalpy at 0 K comes out at -299 meV per atom. Its space-group type is I4/mmm (139).

abc: 4.2476 4.2476 13.2647
angles: 90.00 90.00 90.00
Fractional positions:
Cs  0.0000  0.0000  0.0000
Cs  0.5000  0.5000  0.5000
P  0.0000  0.5000  0.2500
P  0.0000  0.5000  0.7500
P  0.5000  0.0000  0.2500
P  0.5000  0.0000  0.7500
Rh  0.0000  0.0000  0.3240
Rh  0.0000  0.0000  0.6760
Rh  0.5000  0.5000  0.1760
Rh  0.5000  0.5000  0.8240

---

# 2
Computed, not measured: a geometry-optimized CsP2RhS structure at the PBE level of DFT.

Calculated values
For the mass density, the calculation gives 4.62 g/cm3. The value obtained for the magnetic moment is 0.00 μB per formula unit. The value obtained for the uncorrected formation energy is 0.92 eV per formula unit. As for the relative energy among the computed polymorphs: 0.000 eV per atom. Its space-group type is P4/mmm (123).

abc: 4.6254 4.6254 5.5435
angles: 90.00 90.00 90.00
Fractional positions:
Cs  0.0000  0.0000  0.0000
P  0.0000  0.5000  0.5000
P  0.5000  0.0000  0.5000
Rh  0.5000  0.5000  0.5000
S  0.5000  0.5000  0.0000

---

# 3
Computed, not measured: a geometry-optimized CsP2RhS structure at the PBE level of DFT.

Calculated values
For the mass density, the calculation gives 3.47 g/cm3. The value obtained for the magnetic moment is 2.05 μB per formula unit. The value obtained for the uncorrected formation energy is 11.98 eV per formula unit. As for the relative energy among the computed polymorphs: 2.211 eV per atom. Its space-group type is P4/mmm (123).

abc: 5.4950 5.4950 5.2302
angles: 90.00 90.00 90.00
Fractional positions:
Cs  0.0000  0.0000  0.0000
P  0.0000  0.5000  0.0000
P  0.5000  0.0000  0.0000
Rh  0.5000  0.5000  0.5000
S  0.0000  0.0000  0.5000

---

# 4
Computed, not measured: a geometry-optimized Cs2ScPRh structure at the PBE level of DFT.

Calculated values
For the mass density, the calculation gives 3.21 g/cm3. The value obtained for the magnetic moment is 1.14 μB per formula unit. The formation enthalpy at 0 K comes out at 764 meV per atom. Its space-group type is P4/mmm (123).

abc: 7.0969 7.0969 4.5725
angles: 90.00 90.00 90.00
Fractional positions:
Cs  0.0000  0.5000  0.0000
Cs  0.5000  0.0000  0.0000
Sc  0.0000  0.0000  0.0000
P  0.5000  0.5000  0.5000
Rh  0.0000  0.0000  0.5000

---

# 5
Computed, not measured: a geometry-optimized CsTePRh structure at the PBE level of DFT.

Calculated values
For the mass density, the calculation gives 4.88 g/cm3. The value obtained for the magnetic moment is 0.00 μB per formula unit. The value obtained for the uncorrected formation energy is -1.58 eV per formula unit. As for the relative energy among the computed polymorphs: 0.042 eV per atom. Its space-group type is P1 (1).

abc: 4.4486 4.9684 6.4779
angles: 73.21 89.58 78.61
Fractional positions:
Cs  0.0000  0.0000  0.0000
Te  0.4666  0.2820  0.4392
P  0.0981  0.6498  0.5759
Rh  0.5866  0.7179  0.5722

---

# 6
Computed, not measured: a geometry-optimized CsTePRh structure at the PBE level of DFT.

Calculated values
For the mass density, the calculation gives 6.03 g/cm3. The value obtained for the magnetic moment is 0.00 μB per formula unit. The value obtained for the uncorrected formation energy is -1.75 eV per formula unit. As for the relative energy among the computed polymorphs: 0.000 eV per atom. Its space-group type is Cm (8).

abc: 7.0624 3.8986 8.2497
angles: 90.00 107.13 90.00
Fractional positions:
Cs  0.0000  0.0000  0.0000
Cs  0.5000  0.5000  0.0000
Te  0.1852  0.0000  0.5974
Te  0.6852  0.5000  0.5974
P  0.4370  0.0000  0.3165
P  0.9370  0.5000  0.3165
Rh  0.3007  0.5000  0.4183
Rh  0.8007  0.0000  0.4183

---

# 7
Computed, not measured: a geometry-optimized CsTePRh structure at the PBE level of DFT.

Calculated values
For the mass density, the calculation gives 4.74 g/cm3. The value obtained for the magnetic moment is 0.00 μB per formula unit. The value obtained for the uncorrected formation energy is -1.48 eV per formula unit. As for the relative energy among the computed polymorphs: 0.066 eV per atom. Its space-group type is Pmm2 (25).

abc: 4.0452 6.0757 5.6189
angles: 90.00 90.00 90.00
Fractional positions:
Cs  0.0000  0.0000  0.0000
Te  0.5000  0.5000  0.2744
P  0.5000  0.5000  0.7714
Rh  0.0000  0.5000  0.5925

---

# 8
Computed, not measured: a geometry-optimized CsTePRh structure at the PBE level of DFT.

Calculated values
For the mass density, the calculation gives 5.33 g/cm3. The value obtained for the magnetic moment is 0.00 μB per formula unit. The value obtained for the uncorrected formation energy is -1.62 eV per formula unit. As for the relative energy among the computed polymorphs: 0.033 eV per atom. Its space-group type is Pm (6).

abc: 4.8036 3.9346 6.7970
angles: 90.00 107.13 90.00
Fractional positions:
Cs  0.0000  0.0000  0.0000
Te  0.6851  0.5000  0.4053
P  0.2400  0.5000  0.6327
Rh  0.4203  0.0000  0.5519

---

# 9
Computed, not measured: a geometry-optimized CsTePRh structure at the PBE level of DFT.

Calculated values
For the mass density, the calculation gives 4.99 g/cm3. The value obtained for the magnetic moment is 0.00 μB per formula unit. The value obtained for the uncorrected formation energy is -1.21 eV per formula unit. As for the relative energy among the computed polymorphs: 0.134 eV per atom. Its space-group type is P1 (1).

abc: 3.8689 5.8496 6.5852
angles: 70.04 89.92 70.70
Fractional positions:
Cs  0.0000  0.0000  0.0000
Te  0.3684  0.2614  0.3964
P  0.6177  0.7739  0.5959
Rh  0.2162  0.5764  0.6058

---

# 10
Computed, not measured: a geometry-optimized CsTlPRh structure at the PBE level of DFT.

Calculated values
For the mass density, the calculation gives 6.38 g/cm3. The value obtained for the magnetic moment is 0.01 μB per formula unit. The formation enthalpy at 0 K comes out at -419 meV per atom. Its space-group type is P4/nmm (129).

abc: 4.1665 4.1665 14.1267
angles: 90.00 90.00 90.00
Fractional positions:
Cs  0.2500  0.2500  0.2339
Cs  0.7500  0.7500  0.7661
Tl  0.2500  0.7500  0.5000
Tl  0.7500  0.2500  0.5000
P  0.2500  0.2500  0.9185
P  0.7500  0.7500  0.0815
Rh  0.2500  0.7500  0.0000
Rh  0.7500  0.2500  0.0000

---

# 11
Computed, not measured: a geometry-optimized CsPRu structure at the PBE level of DFT.

Calculated values
For the mass density, the calculation gives 4.42 g/cm3. The value obtained for the magnetic moment is 0.00 μB per formula unit. The formation enthalpy at 0 K comes out at -229 meV per atom. Its space-group type is P-1 (2).

abc: 4.3869 6.9471 7.2375
angles: 107.38 107.44 91.51
Fractional positions:
Cs  0.0800  0.3103  0.2036
Cs  0.9200  0.6897  0.7964
P  0.3438  0.1649  0.6767
P  0.6562  0.8351  0.3233
Ru  0.1923  0.8878  0.3922
Ru  0.8077  0.1122  0.6078

---

# 12
Computed, not measured: a geometry-optimized CsPRu3 structure at the PBE level of DFT.

Calculated values
For the mass density, the calculation gives 6.54 g/cm3. The value obtained for the magnetic moment is 3.19 μB per formula unit. The formation enthalpy at 0 K comes out at 3099 meV per atom. As for the relative energy among the computed polymorphs: 2.204 eV per atom. Its space-group type is Pm-3m (221).

abc: 4.9140 4.9140 4.9140
angles: 90.00 90.00 90.00
Fractional positions:
Cs  0.0000  0.0000  0.0000
P  0.5000  0.5000  0.5000
Ru  0.0000  0.0000  0.5000
Ru  0.0000  0.5000  0.0000
Ru  0.5000  0.0000  0.0000

---

# 13
Computed, not measured: a geometry-optimized Cs2P2Ru structure at the PBE level of DFT.

Calculated values
For the mass density, the calculation gives 5.78 g/cm3. The value obtained for the magnetic moment is 0.00 μB per formula unit. The formation enthalpy at 0 K comes out at 39 meV per atom. Its space-group type is P4/mbm (127).

abc: 6.3807 6.3807 6.0469
angles: 90.00 90.00 90.00
Fractional positions:
Cs  0.1851  0.3149  0.0000
Cs  0.3149  0.8149  0.0000
Cs  0.6851  0.1851  0.0000
Cs  0.8149  0.6851  0.0000
P  0.1325  0.6325  0.5000
P  0.3675  0.1325  0.5000
P  0.6325  0.8675  0.5000
P  0.8675  0.3675  0.5000
Ru  0.0000  0.0000  0.5000
Ru  0.5000  0.5000  0.5000

---

# 14
Computed, not measured: a geometry-optimized CsP3Ru3 structure at the PBE level of DFT.

Calculated values
For the mass density, the calculation gives 5.33 g/cm3. The value obtained for the magnetic moment is 0.00 μB per formula unit. The formation enthalpy at 0 K comes out at -426 meV per atom. Its space-group type is R-3 (148).

abc: 9.5878 9.5878 9.5878
angles: 40.11 40.11 40.11
Fractional positions:
Cs  0.1643  0.1643  0.1643
Cs  0.8357  0.8357  0.8357
P  0.0140  0.7498  0.4017
P  0.2502  0.5983  0.9860
P  0.4017  0.0140  0.7498
P  0.5983  0.9860  0.2502
P  0.7498  0.4017  0.0140
P  0.9860  0.2502  0.5983
Ru  0.0743  0.3552  0.6722
Ru  0.3278  0.9257  0.6448
Ru  0.3552  0.6722  0.0743
Ru  0.6448  0.3278  0.9257
Ru  0.6722  0.0743  0.3552
Ru  0.9257  0.6448  0.3278

---

# 15
Computed, not measured: a geometry-optimized CsPRu structure at the PBE level of DFT.

Calculated values
For the mass density, the calculation gives 4.61 g/cm3. The value obtained for the magnetic moment is 0.08 μB per formula unit. The formation enthalpy at 0 K comes out at -198 meV per atom. Its space-group type is I4/mmm (139).

abc: 3.9974 3.9974 23.8663
angles: 90.00 90.00 90.00
Fractional positions:
Cs  0.0000  0.0000  0.1388
Cs  0.0000  0.0000  0.8612
Cs  0.5000  0.5000  0.3612
Cs  0.5000  0.5000  0.6388
P  0.0000  0.0000  0.4439
P  0.0000  0.0000  0.5561
P  0.5000  0.5000  0.0561
P  0.5000  0.5000  0.9439
Ru  0.0000  0.5000  0.0000
Ru  0.0000  0.5000  0.5000
Ru  0.5000  0.0000  0.0000
Ru  0.5000  0.0000  0.5000

---

# 16
Computed, not measured: a geometry-optimized CsPRu structure at the PBE level of DFT.

Calculated values
For the mass density, the calculation gives 4.30 g/cm3. The value obtained for the magnetic moment is 0.00 μB per formula unit. The formation enthalpy at 0 K comes out at -220 meV per atom. Its space-group type is P1 (1).

abc: 4.3910 7.0010 7.0131
angles: 71.77 88.63 88.91
Fractional positions:
Cs  0.0000  0.0000  0.0000
Cs  0.4778  0.6012  0.6012
P  0.2468  0.4645  0.1369
P  0.7442  0.1315  0.4696
Ru  0.2446  0.1888  0.4117
Ru  0.7463  0.4074  0.1945

---

# 17
Computed, not measured: a geometry-optimized Cs3PRu structure at the PBE level of DFT.

Calculated values
For the mass density, the calculation gives 4.58 g/cm3. The value obtained for the magnetic moment is 1.34 μB per formula unit. The formation enthalpy at 0 K comes out at 946 meV per atom. Its space-group type is Pm-3m (221).

abc: 5.7725 5.7725 5.7725
angles: 90.00 90.00 90.00
Fractional positions:
Cs  0.0000  0.0000  0.5000
Cs  0.0000  0.5000  0.0000
Cs  0.5000  0.0000  0.0000
P  0.5000  0.5000  0.5000
Ru  0.0000  0.0000  0.0000

---

# 18
Computed, not measured: a geometry-optimized CsPRu3 structure at the PBE level of DFT.

Calculated values
For the mass density, the calculation gives 8.02 g/cm3. The value obtained for the magnetic moment is 0.00 μB per formula unit. The formation enthalpy at 0 K comes out at 895 meV per atom. As for the relative energy among the computed polymorphs: 0.000 eV per atom. Its space-group type is Pm-3m (221).

abc: 4.5907 4.5907 4.5907
angles: 90.00 90.00 90.00
Fractional positions:
Cs  0.0000  0.0000  0.0000
P  0.5000  0.5000  0.5000
Ru  0.0000  0.5000  0.5000
Ru  0.5000  0.0000  0.5000
Ru  0.5000  0.5000  0.0000

---

# 19
Computed, not measured: a geometry-optimized CsPRuS2 structure at the PBE level of DFT.

Calculated values
For the mass density, the calculation gives 4.75 g/cm3. The value obtained for the magnetic moment is 1.67 μB per formula unit. The value obtained for the uncorrected formation energy is 0.20 eV per formula unit. As for the relative energy among the computed polymorphs: 0.000 eV per atom. Its space-group type is P4/mmm (123).

abc: 5.0366 5.0366 4.5359
angles: 90.00 90.00 90.00
Fractional positions:
Cs  0.0000  0.0000  0.0000
P  0.5000  0.5000  0.0000
Ru  0.5000  0.5000  0.5000
S  0.0000  0.5000  0.5000
S  0.5000  0.0000  0.5000

---

# 20
Computed, not measured: a geometry-optimized CsP2RuS8 structure at the PBE level of DFT.

Calculated values
For the mass density, the calculation gives 2.96 g/cm3. The value obtained for the magnetic moment is 0.00 μB per formula unit. The value obtained for the uncorrected formation energy is -3.61 eV per formula unit. Its space-group type is P-3 (147).

abc: 5.9211 5.9211 10.2146
angles: 90.00 90.00 120.00
Fractional positions:
Cs  0.0000  0.0000  0.0000
P  0.3333  0.6667  0.6865
P  0.6667  0.3333  0.3135
Ru  0.0000  0.0000  0.5000
S  0.0094  0.6683  0.3744
S  0.3317  0.3411  0.3744
S  0.3333  0.6667  0.8816
S  0.3411  0.0094  0.6256
S  0.6589  0.9906  0.3744
S  0.6667  0.3333  0.1184
S  0.6683  0.6589  0.6256
S  0.9906  0.3317  0.6256